Compound: CoTe2Pt
Source: Alexandria via LeMat-Bulk
Functional: GGA-PBE
Structure: relaxed

abc: 4.5202 5.1518 7.3024
angles: 90.00 90.00 90.00
With the nearest neighbours (Å) after each atom.
Positions (direct):
Co: 0.0000 0.0000 0.0000  5 Te 2.62-2.84, 2 Pt 2.67
Co: 0.0000 0.5000 0.5000  5 Te 2.62-2.84, 2 Pt 2.67
Te: 0.0000 0.0000 0.3889  2 Pt 2.67, 3 Co 2.70-2.84
Te: 0.0000 0.5000 0.8889  2 Pt 2.67, 3 Co 2.70-2.84
Te: 0.5000 0.0000 0.8198  2 Co 2.62, 3 Pt 2.73-2.74
Te: 0.5000 0.5000 0.3198  2 Co 2.62, 3 Pt 2.73-2.74
Pt: 0.5000 0.0000 0.1945  5 Te 2.67-2.74, 2 Co 2.67
Pt: 0.5000 0.5000 0.6945  5 Te 2.67-2.74, 2 Co 2.67

Calculated values
The value obtained for the density of states at the Fermi level is 7.07 states/eV per cell. As for the space group: Amm2, No. 38. The calculated volume comes out at 21.26 A^3/atom. The uncorrected formation energy is -6 kJ/mol of atoms. The calculation puts the final energy at -4.920 eV/atom.

Compound: CoTePt2
Source: Alexandria via LeMat-Bulk
Functional: GGA-PBE
Structure: relaxed

abc: 8.3039 3.6658 4.7087
angles: 90.00 107.86 90.00
With the nearest neighbours (Å) after each atom.
Positions (direct):
Co: 0.0000 0.0000 0.0000  5 Pt 2.55-2.81, 3 Te 2.71-2.85
Co: 0.5000 0.5000 0.0000  5 Pt 2.55-2.81, 3 Te 2.71-2.85
Te: 0.2623 0.5000 0.2849  3 Co 2.71-2.85, 5 Pt 2.75-2.80
Te: 0.7623 0.0000 0.2849  3 Co 2.71-2.85, 5 Pt 2.75-2.80
Pt: 0.0119 0.5000 0.5546  3 Te 2.75-2.77, 3 Pt 2.76-2.81, 2 Co 2.81
Pt: 0.2662 0.0000 0.8384  3 Co 2.55-2.61, 3 Pt 2.76-2.81, 2 Te 2.80
Pt: 0.5119 0.0000 0.5546  3 Te 2.75-2.77, 3 Pt 2.76-2.81, 2 Co 2.81
Pt: 0.7662 0.5000 0.8384  3 Co 2.55-2.61, 3 Pt 2.76-2.81, 2 Te 2.80

Calculated values
The value obtained for the density of states at the Fermi level is 6.85 states/eV per cell. As for the space group: Cm, No. 8. The calculated volume comes out at 17.05 A^3/atom. The uncorrected formation energy is 14 kJ/mol of atoms. The calculation puts the final energy at -5.442 eV/atom.

Compound: CoTePt
Source: Alexandria via LeMat-Bulk
Functional: GGA-PBE
Structure: relaxed

abc: 8.6102 3.9280 6.8044
angles: 90.00 90.00 90.00
With the nearest neighbours (Å) after each atom.
Positions (direct):
Co: 0.0000 0.0000 0.0000  6 Pt 2.62, 2 Te 2.80
Co: 0.0000 0.5000 0.5000  6 Pt 2.62, 2 Te 2.80
Co: 0.5000 0.0000 0.3325  6 Te 2.72, 2 Pt 2.98
Co: 0.5000 0.5000 0.8325  6 Te 2.72, 2 Pt 2.98
Te: 0.3252 0.0000 0.9999  3 Pt 2.71, 4 Co 2.72-2.80, 1 Te 3.01
Te: 0.3252 0.5000 0.4999  3 Pt 2.71, 4 Co 2.72-2.80, 1 Te 3.01
Te: 0.6748 0.0000 0.9999  3 Pt 2.71, 4 Co 2.72-2.80, 1 Te 3.01
Te: 0.6748 0.5000 0.4999  3 Pt 2.71, 4 Co 2.72-2.80, 1 Te 3.01
Pt: 0.1534 0.0000 0.3333  3 Co 2.62, 1 Pt 2.64, 3 Te 2.71
Pt: 0.1534 0.5000 0.8333  3 Co 2.62, 1 Pt 2.64, 3 Te 2.71
Pt: 0.8466 0.0000 0.3333  3 Co 2.62, 1 Pt 2.64, 3 Te 2.71
Pt: 0.8466 0.5000 0.8333  3 Co 2.62, 1 Pt 2.64, 3 Te 2.71

Calculated values
The value obtained for the density of states at the Fermi level is 10.92 states/eV per cell. As for the space group: Amm2, No. 38. The calculated volume comes out at 19.18 A^3/atom. The uncorrected formation energy is 21 kJ/mol of atoms. The calculation puts the final energy at -5.214 eV/atom.

Compound: Co2TePt2
Source: Alexandria via LeMat-Bulk
Functional: GGA-PBE
Structure: relaxed

abc: 3.7566 3.7566 11.7632
angles: 90.00 90.00 90.00
With the nearest neighbours (Å) after each atom.
Positions (direct):
Co: 0.0000 0.0000 0.1000  1 Co 2.35, 4 Pt 2.58
Co: 0.0000 0.0000 0.9000  1 Co 2.35, 4 Pt 2.58
Co: 0.5000 0.5000 0.4000  1 Co 2.35, 4 Pt 2.58
Co: 0.5000 0.5000 0.6000  1 Co 2.35, 4 Pt 2.58
Te: 0.0000 0.0000 0.5000  8 Co 2.91
Te: 0.5000 0.5000 0.0000  8 Co 2.91
Pt: 0.0000 0.5000 0.2500  4 Co 2.58, 4 Pt 2.66
Pt: 0.0000 0.5000 0.7500  4 Co 2.58, 4 Pt 2.66
Pt: 0.5000 0.0000 0.2500  4 Co 2.58, 4 Pt 2.66
Pt: 0.5000 0.0000 0.7500  4 Co 2.58, 4 Pt 2.66

Calculated values
The value obtained for the density of states at the Fermi level is 13.28 states/eV per cell. As for the space group: I4/mmm, No. 139. The calculated volume comes out at 16.60 A^3/atom. The uncorrected formation energy is 24 kJ/mol of atoms. The calculation puts the final energy at -5.633 eV/atom.

Compound: CoTePt2
Source: Alexandria via LeMat-Bulk
Functional: GGA-PBE
Structure: relaxed

abc: 4.1101 4.1101 7.7765
angles: 90.00 90.00 90.00
With the nearest neighbours (Å) after each atom.
Positions (direct):
Co: 0.0000 0.0000 0.0000  4 Te 2.83, 8 Pt 2.83-2.91
Co: 0.5000 0.5000 0.5000  4 Te 2.83, 8 Pt 2.83-2.91
Te: 0.0000 0.5000 0.2500  4 Co 2.83, 8 Pt 2.83-2.91
Te: 0.5000 0.0000 0.7500  4 Co 2.83, 8 Pt 2.83-2.91
Pt: 0.0000 0.0000 0.5000  4 Te 2.83, 4 Pt 2.83, 4 Co 2.91
Pt: 0.0000 0.5000 0.7500  4 Co 2.83, 4 Pt 2.83, 4 Te 2.91
Pt: 0.5000 0.0000 0.2500  4 Co 2.83, 4 Pt 2.83, 4 Te 2.91
Pt: 0.5000 0.5000 0.0000  4 Te 2.83, 4 Pt 2.83, 4 Co 2.91

Calculated values
The value obtained for the density of states at the Fermi level is 10.28 states/eV per cell. As for the space group: I-4m2, No. 119. The calculated volume comes out at 16.42 A^3/atom. The uncorrected formation energy is 15 kJ/mol of atoms. The calculation puts the final energy at -5.427 eV/atom.

Compound: CoTePt2
Source: Alexandria via LeMat-Bulk
Functional: GGA-PBE
Structure: relaxed

abc: 5.3436 5.5989 4.5894
angles: 90.00 90.00 90.00
With the nearest neighbours (Å) after each atom.
Positions (direct):
Co: 0.0000 0.0000 0.0000  4 Pt 2.64, 4 Te 2.67-2.80
Co: 0.5000 0.5000 0.0000  4 Pt 2.64, 4 Te 2.67-2.80
Te: 0.0000 0.5000 0.0000  4 Co 2.67-2.80, 4 Pt 2.74
Te: 0.5000 0.0000 0.0000  4 Co 2.67-2.80, 4 Pt 2.74
Pt: 0.0000 0.2338 0.5000  3 Pt 2.62-2.68, 2 Co 2.64, 2 Te 2.74
Pt: 0.0000 0.7662 0.5000  3 Pt 2.62-2.68, 2 Co 2.64, 2 Te 2.74
Pt: 0.5000 0.2662 0.5000  3 Pt 2.62-2.68, 2 Co 2.64, 2 Te 2.74
Pt: 0.5000 0.7338 0.5000  3 Pt 2.62-2.68, 2 Co 2.64, 2 Te 2.74

Calculated values
The value obtained for the density of states at the Fermi level is 10.65 states/eV per cell. As for the space group: Cmmm, No. 65. The calculated volume comes out at 17.16 A^3/atom. The uncorrected formation energy is 9 kJ/mol of atoms. The calculation puts the final energy at -5.485 eV/atom.

Q: calculated volume of number 6 (CoTePt2)?
A: 17.16 A^3/atom

Please write out number 6 again, unchanged.
Compound: CoTePt2
Source: Alexandria via LeMat-Bulk
Functional: GGA-PBE
Structure: relaxed

abc: 5.3436 5.5989 4.5894
angles: 90.00 90.00 90.00
With the nearest neighbours (Å) after each atom.
Positions (direct):
Co: 0.0000 0.0000 0.0000  4 Pt 2.64, 4 Te 2.67-2.80
Co: 0.5000 0.5000 0.0000  4 Pt 2.64, 4 Te 2.67-2.80
Te: 0.0000 0.5000 0.0000  4 Co 2.67-2.80, 4 Pt 2.74
Te: 0.5000 0.0000 0.0000  4 Co 2.67-2.80, 4 Pt 2.74
Pt: 0.0000 0.2338 0.5000  3 Pt 2.62-2.68, 2 Co 2.64, 2 Te 2.74
Pt: 0.0000 0.7662 0.5000  3 Pt 2.62-2.68, 2 Co 2.64, 2 Te 2.74
Pt: 0.5000 0.2662 0.5000  3 Pt 2.62-2.68, 2 Co 2.64, 2 Te 2.74
Pt: 0.5000 0.7338 0.5000  3 Pt 2.62-2.68, 2 Co 2.64, 2 Te 2.74

Calculated values
The value obtained for the density of states at the Fermi level is 10.65 states/eV per cell. As for the space group: Cmmm, No. 65. The calculated volume comes out at 17.16 A^3/atom. The uncorrected formation energy is 9 kJ/mol of atoms. The calculation puts the final energy at -5.485 eV/atom.